# 1
! TcTeP2Ir | Alexandria | PBE | optimized geometry; values from VASP
! - E_tot: -4.660 eV per atom
! - Symmetry: P4/mmm, No. 123
&SYSTEM
  ibrav = 0, nat = 5, ntyp = 4
/
ATOMIC_SPECIES
P 30.97 P.upf
Te 127.60 Te.upf
Ir 192.22 Ir.upf
Tc 98.00 Tc.upf
CELL_PARAMETERS angstrom
4.998 0.000 0.000
0.000 4.860 0.000
0.000 0.000 4.998
ATOMIC_POSITIONS angstrom
P 0.000 0.000 2.499
P 2.499 0.000 0.000
Te 0.000 0.000 0.000
Ir 0.000 2.430 0.000
Tc 2.499 2.430 2.499

# 2
! CaPrBiTe | Alexandria | PBE | optimized geometry; values from VASP
! - E_tot: -4.680 eV per atom
! - Symmetry: R3m, No. 160
&SYSTEM
  ibrav = 0, nat = 4, ntyp = 4
/
ATOMIC_SPECIES
Ca 40.08 Ca.upf
Pr 140.91 Pr.upf
Bi 208.98 Bi.upf
Te 127.60 Te.upf
CELL_PARAMETERS angstrom
-2.894 0.470 3.555
-4.052 -2.193 -0.023
0.859 -6.475 4.541
ATOMIC_POSITIONS angstrom
Ca -6.428 -2.686 4.081
Pr -2.486 -5.135 4.627
Bi -4.034 -7.137 6.618
Te -1.000 -3.019 2.571

# 3
! PmCdGa | Alexandria | PBE | optimized geometry; values from VASP
! - Formation enthalpy at 0 K: -0.30 eV/atom
! - Energy relative to the lowest polymorph listed for this composition: 0.227 eV/atom
! - Symmetry: I4mm, No. 107
&SYSTEM
  ibrav = 0, nat = 3, ntyp = 3
/
ATOMIC_SPECIES
Pm 145.00 Pm.upf
Ga 69.72 Ga.upf
Cd 112.41 Cd.upf
CELL_PARAMETERS angstrom
3.505 0.000 0.000
0.000 3.505 0.000
-1.753 -1.753 5.862
ATOMIC_POSITIONS angstrom
Pm 0.000 0.000 0.094
Ga 1.753 1.753 2.069
Cd 0.000 0.000 3.698

# 4
! MgNpAlGa | Alexandria | PBE | optimized geometry; values from VASP
! - Formation enthalpy at 0 K: 0.01 eV/atom
! - Symmetry: F-43m, No. 216
&SYSTEM
  ibrav = 0, nat = 4, ntyp = 4
/
ATOMIC_SPECIES
Al 26.98 Al.upf
Mg 24.30 Mg.upf
Ga 69.72 Ga.upf
Np 237.00 Np.upf
CELL_PARAMETERS angstrom
-2.317 4.296 -0.032
-4.191 0.531 2.446
-0.137 2.729 4.045
ATOMIC_POSITIONS angstrom
Al -4.984 5.668 4.844
Mg -3.323 3.778 3.229
Ga -1.661 1.889 1.615
Np 0.000 0.000 0.000

no.,magnetization (μB/f.u.)
1,2.955
2,0.000
3,0.000
4,4.151